No. 1
Computed, not measured: Ac4HgIrCl2 after structural relaxation at the PBE-GGA level of DFT.

Cell and atoms, written as extended XYZ:
```
8
Lattice="8.171 0.000 0.000 0.000 4.382 0.000 -3.112 0.000 7.841" Properties=species:S:1:pos:R:3 pbc="T T T"
Ac 0.816 0.000 2.204
Ac -0.267 2.191 5.546
Ac 5.326 2.191 2.295
Ac 4.243 0.000 5.637
Hg 2.530 2.191 3.921
Ir -1.556 0.000 3.921
Cl 0.000 2.191 0.000
Cl 4.085 0.000 0.000
```

**Calculated total energy**: -4.750 eV per atom
**ΔE_f (raw)**: -25.1 kcal/mol of atoms

---

No. 2
Computed, not measured: K2BaAlAs after structural relaxation at the PBE-GGA level of DFT.

Cell and atoms, written as extended XYZ:
```
5
Lattice="7.327 0.000 0.000 0.000 7.327 0.000 0.000 0.000 5.801" Properties=species:S:1:pos:R:3 pbc="T T T"
K 0.000 3.664 0.000
K 3.664 0.000 0.000
Ba 0.000 0.000 0.000
Al 3.664 3.664 2.901
As 0.000 0.000 2.901
```

**Calculated total energy**: -1.866 eV per atom
**Formation energy from the elements**: 0.636 eV/atom

---

No. 3
Computed, not measured: NbGaSb after structural relaxation at the PBE-GGA level of DFT.

Cell and atoms, written as extended XYZ:
```
18
Lattice="12.284 0.000 0.000 0.000 3.618 0.000 0.000 0.000 8.452" Properties=species:S:1:pos:R:3 pbc="T T T"
Nb 1.222 0.000 0.732
Nb 3.071 1.809 5.008
Nb 4.921 0.000 0.732
Nb 7.364 0.000 7.720
Nb 9.213 1.809 3.444
Nb 11.063 0.000 7.720
Ga 1.390 0.000 3.672
Ga 3.071 0.000 7.123
Ga 4.752 0.000 3.672
Ga 7.532 0.000 4.780
Ga 9.213 0.000 1.329
Ga 10.894 0.000 4.780
Sb 0.815 1.809 6.818
Sb 3.071 1.809 2.025
Sb 5.327 1.809 6.818
Sb 6.957 1.809 1.634
Sb 9.213 1.809 6.427
Sb 11.469 1.809 1.634
```

**Calculated total energy**: -5.828 eV per atom
**Distance to the lowest polymorph of the same formula**: 186 meV/atom
**ΔE_f (raw)**: -2.0 kcal/mol of atoms

---

No. 4
Computed, not measured: PtRhWC2 after structural relaxation at the PBE-GGA level of DFT.

Cell and atoms, written as extended XYZ:
```
5
Lattice="3.811 0.000 0.000 0.000 3.811 0.000 0.000 0.000 5.318" Properties=species:S:1:pos:R:3 pbc="T T T"
Pt 0.000 0.000 0.000
Rh 0.000 0.000 2.659
W 1.906 1.906 0.000
C 0.000 1.906 2.659
C 1.906 0.000 2.659
```

**Calculated total energy**: -6.907 eV per atom
**Formation energy from the elements**: 2.051 eV/atom